Record 1
The following is a PBE calculation of a relaxed structure of NaDyPtS3, from OQMD via LeMat-Bulk.

Unit cell a=7.117 b=7.117 c=10.104 alpha=90.00 beta=90.00 gamma=148.69
Sites, in units of the cell vectors:
S 0.370 0.630 0.418
S 0.903 0.097 0.750
S 0.630 0.370 0.918
Pt 0.507 0.493 0.750
Pt 0.493 0.507 0.250
S 0.370 0.630 0.082
Na 0.765 0.235 0.250
Dy 0.000 0.000 0.000
Dy 0.000 0.000 0.500
S 0.630 0.370 0.582
Na 0.235 0.765 0.750
S 0.097 0.903 0.250

Properties
As for the total magnetization: 0.0012 μB per atom. As for the total energy: -62.097 eV per cell.

Record 2
The following is a PBE calculation of a relaxed structure of NaDyPtSe3, from OQMD via LeMat-Bulk.

Unit cell a=7.527 b=7.527 c=10.241 alpha=90.00 beta=90.00 gamma=149.54
Sites, in units of the cell vectors:
Se 0.365 0.635 0.424
Se 0.903 0.097 0.750
Pt 0.488 0.512 0.250
Se 0.635 0.365 0.576
Se 0.097 0.903 0.250
Se 0.365 0.635 0.076
Dy 0.000 0.000 0.000
Na 0.766 0.234 0.250
Se 0.635 0.365 0.924
Pt 0.512 0.488 0.750
Na 0.234 0.766 0.750
Dy 0.000 0.000 0.500

Properties
As for the total magnetization: 0.0000 μB per atom. As for the total energy: -57.659 eV per cell.

Record 3
The following is a PBE calculation of a relaxed structure of NaDyPu, from OQMD via LeMat-Bulk.

Unit cell a=5.296 b=5.296 c=5.296 alpha=60.00 beta=60.00 gamma=60.00
Sites, in units of the cell vectors:
Pu 0.750 0.750 0.750
Na 0.000 0.000 0.000
Dy 0.250 0.250 0.250

Properties
As for the total magnetization: 2.6197 μB per atom. The excess energy over the best structure of this formula in the dataset comes out at 0 meV/atom.

Record 4
The following is a PBE calculation of a relaxed structure of RbNaDy, from OQMD via LeMat-Bulk.

Unit cell a=6.046 b=6.046 c=6.046 alpha=60.00 beta=60.00 gamma=60.00
Sites, in units of the cell vectors:
Rb 0.000 0.000 0.000
Dy 0.250 0.250 0.250
Na 0.750 0.750 0.750

Properties
As for the total magnetization: 0.1754 μB per atom. The excess energy over the best structure of this formula in the dataset comes out at 80 meV/atom.